Record 1
A geometry-optimized SrPrSnPd structure, computed with PBE.

The density of states at the Fermi level comes out at 0.671 states/eV per atom. The raw total energy comes out at -4.51 eV per atom.

The space group is F-43m (No. 216) and the conventional cell measures 7.6765, 7.6765 and 7.6765 Å, with angles of 90.00, 90.00 and 90.00 degrees. The asymmetric unit holds Sr at (0.0000, 0.0000, 0.0000), Pr at (0.0000, 0.0000, 0.5000), Sn at (0.2500, 0.2500, 0.2500) and Pd at (0.2500, 0.2500, 0.7500).

Record 2
A geometry-optimized Ho6SiP2Se3 structure, computed with PBE.

The density of states at the Fermi level comes out at 0.301 states/eV per atom. The raw total energy comes out at -6.14 eV per atom.

The space group is C2/m (No. 12) and the conventional cell measures 17.7285, 4.0349 and 8.1383 Å, with angles of 90.00, 104.04 and 90.00 degrees. The asymmetric unit holds Ho at (0.0041, 0.0000, 0.2411), Ho at (0.1625, 0.5000, 0.0945), Ho at (0.1715, 0.5000, 0.5716), Si at (0.0000, 0.5000, 0.0000), P at (0.1674, 0.0000, 0.3348), Se at (0.0000, 0.5000, 0.5000) and Se at (0.1675, 0.0000, 0.8321).

Record 3
A geometry-optimized HfTi3Al2 structure, computed with PBE.

The density of states at the Fermi level comes out at 0.996 states/eV per atom. The raw total energy comes out at -7.17 eV per atom.

The space group is P-3m1 (No. 164) and the conventional cell measures 4.6119, 4.6119 and 5.6599 Å, with angles of 90.00, 90.00 and 120.00 degrees. The asymmetric unit holds Hf at (0.0000, 0.0000, 0.0000), Ti at (0.0000, 0.0000, 0.5000), Ti at (0.3333, 0.6667, 0.2575) and Al at (0.3333, 0.6667, 0.7482).

Record 4
A geometry-optimized Hf2VSiC structure, computed with PBE.

The density of states at the Fermi level comes out at 0.730 states/eV per atom. The raw total energy comes out at -7.11 eV per atom.

The space group is P4/mmm (No. 123) and the conventional cell measures 4.7634, 4.7634 and 4.3779 Å, with angles of 90.00, 90.00 and 90.00 degrees. The asymmetric unit holds Hf at (0.0000, 0.5000, 0.0000), V at (0.0000, 0.0000, 0.0000), Si at (0.0000, 0.0000, 0.5000) and C at (0.5000, 0.5000, 0.5000).